A plane-wave DFT calculation with GGA-PBE was carried out for Rb3BrO after structural relaxation.

Results
Formation energy (no corrections)   -1.245 eV per atom
Total moment   0.02 μB per atom
V   38.05 A^3/atom

a = 15.117 Å, b = 5.481 Å, c = 9.257 Å
α = 90.00°, β = 97.20°, γ = 90.00°
Space group C2/m (No. 12)
One atom of each set of equivalent atoms:
Rb: 0.053 0.000 0.174 (multiplicity 4)
Rb: 0.153 0.000 0.637 (multiplicity 4)
Rb: 0.176 0.500 0.979 (multiplicity 4)
Br: 0.123 0.500 0.386 (multiplicity 4)
O: 0.132 0.000 0.920 (multiplicity 4)